[1]
Crystalline FeAsW2Cl at its relaxed geometry, computed with GGA-PBE.

Cell lengths 4.6195, 4.1552, 4.6195 Å; angles 90.00, 90.00, 90.00 degrees
Last column: magnetic moment on the atom in μB.
Fractional positions:
As 0.5000 0.5000 0.5000  -0.02
W 0.5000 0.0000 0.0000  0.39
Cl 0.0000 0.5000 0.0000  0.01
W 0.0000 0.0000 0.5000  0.29
Fe 0.0000 0.0000 0.0000  0.01

Results
Theoretical density = 10.00 g/cm3
Formation energy from raw total energies = 1.45 eV per atom
Space group = P4/mmm

---

[2]
Crystalline YFeAsCl2 at its relaxed geometry, computed with GGA-PBE.

Cell lengths 5.0784, 5.9161, 5.0784 Å; angles 90.00, 90.00, 90.00 degrees
Last column: magnetic moment on the atom in μB.
Fractional positions:
As 0.0000 0.5000 0.0000  0.00
Y 0.0000 0.0000 0.0000  0.02
Cl 0.0000 0.0000 0.5000  0.01
Fe 0.5000 0.5000 0.5000  3.44
Cl 0.5000 0.0000 0.0000  0.00

Results
Theoretical density = 3.16 g/cm3
Formation energy from raw total energies = -0.32 eV per atom
Space group = P4/mmm

---

[3]
Crystalline GaAs3Cl at its relaxed geometry, computed with GGA-PBE.

Cell lengths 4.9704, 4.9704, 4.9704 Å; angles 90.00, 90.00, 90.00 degrees
Fractional positions:
Cl 0.5000 0.5000 0.5000
Ga 0.0000 0.0000 0.0000
As 0.0000 0.0000 0.5000
As 0.0000 0.5000 0.0000
As 0.5000 0.0000 0.0000

Results
Theoretical density = 4.46 g/cm3
Formation energy from raw total energies = 0.70 eV per atom
Space group = Pm-3m

---

[4]
Crystalline GaAs2Cl8 at its relaxed geometry, computed with GGA-PBE.

Cell lengths 8.0370, 8.1858, 8.1858 Å; angles 98.01, 84.55, 84.55 degrees
Last column: magnetic moment on the atom in μB.
Fractional positions:
Cl 0.1319 0.3281 0.0551  0.02
Cl 0.7185 0.1003 0.1003  0.15
Cl 0.6623 0.6063 0.6063  0.00
As 0.6811 0.8081 0.8081  0.01
Cl 0.8681 0.9449 0.6719  0.02
As 0.3189 0.1919 0.1919  0.01
Cl 0.8681 0.6719 0.9449  0.02
Cl 0.1319 0.0551 0.3281  0.02
Ga 0.0000 0.0000 0.0000  0.29
Cl 0.3377 0.3937 0.3937  0.00
Cl 0.2815 0.8997 0.8997  0.15

Results
Theoretical density = 1.58 g/cm3
Formation energy from raw total energies = -0.64 eV per atom
Space group = C2/m

---

[5]
Crystalline Ga2AsCl at its relaxed geometry, computed with GGA-PBE.

Cell lengths 4.8451, 4.8451, 4.8451 Å; angles 60.00, 60.00, 60.00 degrees
Fractional positions:
Cl 0.0000 0.0000 0.0000
Ga 0.7500 0.7500 0.7500
Ga 0.2500 0.2500 0.2500
As 0.5000 0.5000 0.5000

Results
Theoretical density = 5.16 g/cm3
Formation energy from raw total energies = -0.12 eV per atom
Space group = Fm-3m

---

[6]
Crystalline Ga2AsCl8 at its relaxed geometry, computed with GGA-PBE.

Cell lengths 7.2082, 7.6116, 7.6116 Å; angles 76.47, 91.31, 91.31 degrees
Last column: magnetic moment on the atom in μB.
Fractional positions:
Cl 0.2116 0.3859 0.3859  0.00
Ga 0.6876 0.7804 0.7804  0.00
Cl 0.6068 0.1964 0.1964  0.01
Cl 0.8228 0.0644 0.7022  0.02
Cl 0.1772 0.9356 0.2978  0.02
Ga 0.3124 0.2196 0.2196  0.00
Cl 0.8228 0.7022 0.0644  0.02
Cl 0.3932 0.8036 0.8036  0.01
As 0.0000 0.0000 0.0000  0.43
Cl 0.1772 0.2978 0.9356  0.02
Cl 0.7884 0.6141 0.6141  0.00

Results
Theoretical density = 2.04 g/cm3
Formation energy from raw total energies = -0.89 eV per atom
Space group = C2/m

---

[7]
Crystalline Ga2AsCl at its relaxed geometry, computed with GGA-PBE.

Cell lengths 6.9107, 6.9107, 6.5806 Å; angles 58.33, 58.33, 90.00 degrees
Fractional positions:
Ga 0.8750 0.9041 0.7500
Cl 0.5000 0.5000 0.0000
Cl 0.2500 0.7500 0.5000
As 0.7500 0.2500 0.5000
Ga 0.6541 0.1250 0.2500
Ga 0.3750 0.3459 0.7500
Ga 0.0959 0.6250 0.2500
As 0.0000 0.0000 0.0000

Results
Theoretical density = 3.94 g/cm3
Formation energy from raw total energies = -0.13 eV per atom
Space group = I-42d

---

[8]
Crystalline GaAs3Cl at its relaxed geometry, computed with GGA-PBE.

Cell lengths 4.9560, 4.9560, 4.9560 Å; angles 90.00, 90.00, 90.00 degrees
Fractional positions:
As 0.0000 0.5000 0.0000
Ga 0.5000 0.5000 0.5000
As 0.5000 0.0000 0.0000
As 0.0000 0.0000 0.5000
Cl 0.0000 0.0000 0.0000

Results
Theoretical density = 4.50 g/cm3
Formation energy from raw total energies = 0.99 eV per atom
Space group = Pm-3m

---

[9]
Crystalline GaAsCl at its relaxed geometry, computed with GGA-PBE.

Cell lengths 6.6922, 9.6521, 6.0770 Å; angles 93.91, 76.27, 117.34 degrees
Fractional positions:
Ga 0.7007 0.1815 0.0582
Cl 0.7592 0.1722 0.3952
Cl 0.7080 0.9497 0.8994
Cl 0.2408 0.8278 0.6048
As 0.9488 0.4247 0.8259
Cl 0.2920 0.0503 0.1006
As 0.3320 0.3675 0.5385
Ga 0.3866 0.5141 0.1902
As 0.6680 0.6325 0.4615
Ga 0.2993 0.8185 0.9418
Ga 0.6134 0.4859 0.8098
As 0.0512 0.5753 0.1741

Results
Theoretical density = 3.54 g/cm3
Formation energy from raw total energies = -0.44 eV per atom
Space group = P-1

---

[10]
Crystalline GaHg3AsSCl4 at its relaxed geometry, computed with GGA-PBE.

Cell lengths 7.4895, 7.4895, 12.5379 Å; angles 90.00, 90.00, 120.00 degrees
Fractional positions:
Cl 0.8379 0.1621 0.2095
Hg 0.5016 0.0032 0.4670
Cl 0.6758 0.8379 0.7095
As 0.3333 0.6667 0.0741
S 0.6667 0.3333 0.8752
Hg 0.4984 0.9968 0.9670
Ga 0.0000 0.0000 0.2607
As 0.6667 0.3333 0.5741
Hg 0.0032 0.5016 0.9670
Cl 0.3242 0.1621 0.2095
Ga 0.0000 0.0000 0.7607
Cl 0.0000 0.0000 0.4385
Cl 0.1621 0.8379 0.7095
S 0.3333 0.6667 0.3752
Cl 0.1621 0.3242 0.7095
Hg 0.9968 0.4984 0.4670
Cl 0.8379 0.6758 0.2095
Hg 0.5016 0.4984 0.4670
Cl 0.0000 0.0000 0.9385
Hg 0.4984 0.5016 0.9670

Results
Theoretical density = 5.02 g/cm3
Formation energy from raw total energies = -0.67 eV per atom
Space group = P6_3mc

---

[11]
Crystalline Ga2AsICl at its relaxed geometry, computed with GGA-PBE.

Cell lengths 5.5177, 5.8112, 5.5177 Å; angles 90.00, 90.00, 90.00 degrees
Last column: magnetic moment on the atom in μB.
Fractional positions:
Cl 0.0000 0.0000 0.0000  0.00
I 0.0000 0.5000 0.0000  0.11
Ga 0.0000 0.0000 0.5000  0.01
Ga 0.5000 0.0000 0.0000  0.00
As 0.5000 0.5000 0.5000  0.77

Results
Theoretical density = 3.54 g/cm3
Formation energy from raw total energies = 0.53 eV per atom
Space group = P4/mmm

---

[12]
Crystalline InGaAsCl2 at its relaxed geometry, computed with GGA-PBE.

Cell lengths 4.7174, 6.4081, 4.7174 Å; angles 90.00, 90.00, 90.00 degrees
Last column: magnetic moment on the atom in μB.
Fractional positions:
Cl 0.5000 0.0000 0.0000  0.03
Ga 0.0000 0.0000 0.0000  0.00
In 0.0000 0.5000 0.0000  -0.01
Cl 0.0000 0.0000 0.5000  0.02
As 0.5000 0.5000 0.5000  0.55

Results
Theoretical density = 3.85 g/cm3
Formation energy from raw total energies = 0.04 eV per atom
Space group = P4/mmm

---

[13]
Crystalline KGaAsCl2 at its relaxed geometry, computed with GGA-PBE.

Cell lengths 5.7380, 4.8646, 5.7380 Å; angles 90.00, 90.00, 90.00 degrees
Fractional positions:
K 0.5000 0.5000 0.5000
As 0.0000 0.0000 0.0000
Cl 0.5000 0.0000 0.0000
Cl 0.0000 0.0000 0.5000
Ga 0.0000 0.5000 0.0000

Results
Theoretical density = 2.64 g/cm3
Formation energy from raw total energies = -0.51 eV per atom
Space group = P4/mmm

---

[14]
Crystalline La4GaAsCl2 at its relaxed geometry, computed with GGA-PBE.

Cell lengths 4.4073, 7.2697, 7.5959 Å; angles 69.32, 90.00, 90.00 degrees
Fractional positions:
La 0.0000 0.7426 0.7526
La 0.5000 0.7404 0.2527
Ga 0.5000 0.5000 0.0000
Cl 0.0000 0.0000 0.0000
Cl 0.5000 0.0000 0.5000
La 0.5000 0.2596 0.7473
As 0.0000 0.5000 0.5000
La 0.0000 0.2574 0.2474

Results
Theoretical density = 5.62 g/cm3
Formation energy from raw total energies = -1.37 eV per atom
Space group = P2/m

---

[15]
Crystalline Mn2GaAsCl at its relaxed geometry, computed with GGA-PBE.

Cell lengths 4.7449, 5.7639, 4.7449 Å; angles 90.00, 90.00, 90.00 degrees
Last column: magnetic moment on the atom in μB.
Fractional positions:
Cl 0.5000 0.5000 0.5000  0.08
Ga 0.0000 0.5000 0.0000  0.02
Mn 0.5000 0.0000 0.0000  3.89
As 0.0000 0.0000 0.0000  -0.06
Mn 0.0000 0.0000 0.5000  4.02

Results
Theoretical density = 3.71 g/cm3
Formation energy from raw total energies = 0.32 eV per atom
Space group = P4/mmm

---

[16]
Crystalline GaAsN2Cl at its relaxed geometry, computed with GGA-PBE.

Cell lengths 3.8987, 4.8780, 3.8987 Å; angles 90.00, 90.00, 90.00 degrees
Fractional positions:
Cl 0.0000 0.5000 0.0000
N 0.0000 0.0000 0.5000
Ga 0.0000 0.0000 0.0000
As 0.5000 0.5000 0.5000
N 0.5000 0.0000 0.0000

Results
Theoretical density = 4.66 g/cm3
Formation energy from raw total energies = 1.28 eV per atom
Space group = P4/mmm

---

[17]
Crystalline Nd4GaAsCl2 at its relaxed geometry, computed with GGA-PBE.

Cell lengths 4.2961, 7.2502, 7.3988 Å; angles 69.86, 90.00, 90.00 degrees
Fractional positions:
As 0.0000 0.5000 0.5000
Nd 0.0000 0.2658 0.2422
Cl 0.0000 0.0000 0.0000
Nd 0.5000 0.2691 0.7456
Ga 0.5000 0.5000 0.0000
Nd 0.5000 0.7309 0.2544
Nd 0.0000 0.7342 0.7578
Cl 0.5000 0.0000 0.5000

Results
Theoretical density = 6.08 g/cm3
Formation energy from raw total energies = -1.28 eV per atom
Space group = P2/m

---

[18]
Crystalline GaAs2OsCl at its relaxed geometry, computed with GGA-PBE.

Cell lengths 4.6994, 4.6486, 4.6994 Å; angles 90.00, 90.00, 90.00 degrees
Last column: magnetic moment on the atom in μB.
Fractional positions:
Ga 0.0000 0.5000 0.0000  -0.01
Os 0.5000 0.5000 0.5000  1.07
As 0.0000 0.0000 0.5000  -0.04
Cl 0.0000 0.0000 0.0000  -0.01
As 0.5000 0.0000 0.0000  -0.04

Results
Theoretical density = 7.20 g/cm3
Formation energy from raw total energies = 1.60 eV per atom
Space group = P4/mmm

---

[19]
Crystalline GaAsP2Cl at its relaxed geometry, computed with GGA-PBE.

Cell lengths 4.7408, 4.7408, 5.4452 Å; angles 90.00, 90.00, 90.00 degrees
Last column: magnetic moment on the atom in μB.
Fractional positions:
As 0.0000 0.0000 0.0000  -0.02
P 0.0000 0.5000 0.0000  0.13
P 0.5000 0.0000 0.0000  0.13
Ga 0.5000 0.5000 0.5000  0.00
Cl 0.0000 0.0000 0.5000  0.04

Results
Theoretical density = 3.28 g/cm3
Formation energy from raw total energies = 0.56 eV per atom
Space group = P4/mmm

---

[20]
Crystalline GaAsPd2Cl at its relaxed geometry, computed with GGA-PBE.

Cell lengths 4.6865, 5.4672, 4.6865 Å; angles 90.00, 90.00, 90.00 degrees
Fractional positions:
Pd 0.0000 0.0000 0.5000
Ga 0.5000 0.5000 0.5000
Cl 0.0000 0.5000 0.0000
As 0.0000 0.0000 0.0000
Pd 0.5000 0.0000 0.0000

Results
Theoretical density = 5.43 g/cm3
Formation energy from raw total energies = 0.08 eV per atom
Space group = P4/mmm

---

[21]
Crystalline Pm4GaAsCl2 at its relaxed geometry, computed with GGA-PBE.

Cell lengths 4.2659, 7.1787, 7.3478 Å; angles 69.81, 90.00, 90.00 degrees
Fractional positions:
Cl 0.0000 0.0000 0.0000
Cl 0.5000 0.0000 0.5000
As 0.0000 0.5000 0.5000
Pm 0.0000 0.2662 0.2417
Pm 0.0000 0.7338 0.7583
Ga 0.5000 0.5000 0.0000
Pm 0.5000 0.2693 0.7459
Pm 0.5000 0.7307 0.2541

Results
Theoretical density = 6.26 g/cm3
Formation energy from raw total energies = -1.27 eV per atom
Space group = P2/m

---

[22]
Crystalline Pr4GaAsCl2 at its relaxed geometry, computed with GGA-PBE.

Cell lengths 4.3281, 7.3210, 7.4528 Å; angles 69.90, 90.00, 90.00 degrees
Fractional positions:
Pr 0.5000 0.7311 0.2545
Pr 0.0000 0.7347 0.7573
Pr 0.0000 0.2653 0.2427
As 0.0000 0.5000 0.5000
Cl 0.5000 0.0000 0.5000
Ga 0.5000 0.5000 0.0000
Pr 0.5000 0.2689 0.7455
Cl 0.0000 0.0000 0.0000

Results
Theoretical density = 5.83 g/cm3
Formation energy from raw total energies = -1.29 eV per atom
Space group = P2/m

---

[23]
Crystalline GaAsSCl2 at its relaxed geometry, computed with GGA-PBE.

Cell lengths 4.8221, 5.6271, 4.8221 Å; angles 90.00, 90.00, 90.00 degrees
Last column: magnetic moment on the atom in μB.
Fractional positions:
S 0.5000 0.5000 0.5000  0.61
Cl 0.5000 0.0000 0.0000  0.02
Ga 0.0000 0.5000 0.0000  0.00
Cl 0.0000 0.0000 0.5000  0.03
As 0.0000 0.0000 0.0000  -0.01

Results
Theoretical density = 3.14 g/cm3
Formation energy from raw total energies = 0.17 eV per atom
Space group = P4/mmm

---

[24]
Crystalline GaAsS2Cl at its relaxed geometry, computed with GGA-PBE.

Cell lengths 4.7722, 4.7722, 5.2042 Å; angles 90.00, 90.00, 90.00 degrees
Fractional positions:
As 0.0000 0.0000 0.0000
S 0.0000 0.5000 0.0000
S 0.5000 0.0000 0.0000
Cl 0.0000 0.0000 0.5000
Ga 0.5000 0.5000 0.5000

Results
Theoretical density = 3.42 g/cm3
Formation energy from raw total energies = 0.06 eV per atom
Space group = P4/mmm

---

[25]
Crystalline GaAsSCl2 at its relaxed geometry, computed with GGA-PBE.

Cell lengths 5.1407, 4.7822, 5.1407 Å; angles 90.00, 90.00, 90.00 degrees
Fractional positions:
Cl 0.0000 0.0000 0.5000
Cl 0.5000 0.0000 0.0000
Ga 0.5000 0.5000 0.5000
As 0.0000 0.0000 0.0000
S 0.0000 0.5000 0.0000

Results
Theoretical density = 3.25 g/cm3
Formation energy from raw total energies = -0.23 eV per atom
Space group = P4/mmm

---

[26]
Crystalline GeAs2Cl8 at its relaxed geometry, computed with GGA-PBE.

Cell lengths 8.0896, 7.7227, 7.7227 Å; angles 61.03, 88.76, 88.76 degrees
Fractional positions:
Cl 0.8378 0.9254 0.3542
Cl 0.1622 0.6458 0.0746
Cl 0.4114 0.6962 0.6962
Ge 0.0000 0.0000 0.0000
Cl 0.8378 0.3542 0.9254
Cl 0.5886 0.3038 0.3038
Cl 0.7177 0.9202 0.9202
Cl 0.2823 0.0798 0.0798
As 0.3562 0.8602 0.8602
Cl 0.1622 0.0746 0.6458
As 0.6438 0.1398 0.1398

Results
Theoretical density = 1.99 g/cm3
Formation energy from raw total energies = -0.64 eV per atom
Space group = C2/m